A.
NaLuSO | GGA-PBE | optimized geometry

a b c (Å): 7.0459 8.6939 5.3524
angles (deg): 90.00 90.00 90.00
Last column: nearest neighbours and their distance in Å.
Sites, in units of the cell vectors:
Lu1 0.9537 0.3377 0.0721  1 O 1.94
Lu2 0.4537 0.6623 0.0721  1 O 1.94
Lu3 0.5463 0.3377 0.5721  1 O 1.94
Lu4 0.0463 0.6623 0.5721  1 O 1.94
Na1 0.6200 0.9250 0.5150  3 O 2.28-2.37
Na2 0.8800 0.9250 0.0150  3 O 2.28-2.37
Na3 0.3800 0.0750 0.0150  3 O 2.28-2.37
Na4 0.1200 0.0750 0.5150  3 O 2.28-2.37
O1 0.5673 0.8658 0.0889  1 Lu 1.94
O2 0.9327 0.8658 0.5889  1 Lu 1.94
O3 0.4327 0.1342 0.5889  1 Lu 1.94
O4 0.0673 0.1342 0.0889  1 Lu 1.94
S1 0.9226 0.3664 0.5740  4 Lu 2.66-2.72, 1 Na 2.91
S2 0.4226 0.6336 0.5740  4 Lu 2.66-2.72, 1 Na 2.91
S3 0.5774 0.3664 0.0740  4 Lu 2.66-2.72, 1 Na 2.91
S4 0.0774 0.6336 0.0740  4 Lu 2.66-2.72, 1 Na 2.91

## Properties
symmetry: Pca2_1
size of the total moment: 0.00 μB per formula unit

B.
NaLuSO | GGA-PBE | optimized geometry

a b c (Å): 5.4431 5.4418 10.2583
angles (deg): 90.00 105.18 90.00
Last column: nearest neighbours and their distance in Å.
Sites, in units of the cell vectors:
Lu1 0.5505 0.3558 0.1052  4 O 2.18-2.19
Lu2 0.0506 0.8556 0.1053  4 O 2.18-2.19
Lu3 0.9494 0.3556 0.8947  4 O 2.18-2.19
Lu4 0.4495 0.8558 0.8948  4 O 2.18-2.19
Na1 0.4441 0.6170 0.4027  5 S 2.84-2.88
Na2 0.9572 0.1268 0.4018  5 S 2.83-2.91
Na3 0.0428 0.6268 0.5982  5 S 2.83-2.91
Na4 0.5559 0.1170 0.5973  5 S 2.84-2.88
O1 0.7501 0.1052 0.0000  4 Lu 2.18-2.19
O2 0.2498 0.1053 0.0000  4 Lu 2.18-2.19
O3 0.2499 0.6052 0.0000  4 Lu 2.18-2.19
O4 0.7502 0.6053 0.0000  4 Lu 2.18-2.19
S1 0.1013 0.1193 0.6890  2 Lu 2.78-2.83, 5 Na 2.83-2.91, 1 O 3.08
S2 0.8987 0.6193 0.3110  2 Lu 2.78-2.83, 5 Na 2.83-2.91, 1 O 3.08
S3 0.4042 0.1149 0.3109  2 Lu 2.77-2.83, 5 Na 2.83-2.91, 1 O 3.08
S4 0.5958 0.6149 0.6891  2 Lu 2.77-2.83, 5 Na 2.83-2.91, 1 O 3.08

## Properties
symmetry: P2_1
size of the total moment: 0.00 μB per formula unit

C.
NaLuSO | GGA-PBE | optimized geometry

a b c (Å): 4.1861 7.2540 5.9484
angles (deg): 90.00 90.00 90.00
Last column: nearest neighbours and their distance in Å.
Sites, in units of the cell vectors:
Lu1 0.5000 0.8622 0.0381  2 O 2.05-2.06
Lu2 0.5000 0.1378 0.5381  2 O 2.05-2.06
S1 0.0000 0.3172 0.6460  2 Lu 2.55, 2 Na 2.78-2.80
S2 0.0000 0.6828 0.1460  2 Lu 2.55, 2 Na 2.78-2.80
O1 0.5000 0.8848 0.6933  2 Lu 2.05-2.06
O2 0.5000 0.1152 0.1933  2 Lu 2.05-2.06
Na1 0.0000 0.7021 0.6136  2 O 2.52, 2 S 2.78-2.80
Na2 0.0000 0.2979 0.1136  2 O 2.52, 2 S 2.78-2.80

## Properties
symmetry: Pmc2_1
size of the total moment: 0.00 μB per formula unit

D.
NaLuSO | GGA-PBE | optimized geometry

a b c (Å): 6.7626 7.0725 6.1205
angles (deg): 90.00 104.29 90.00
Last column: nearest neighbours and their distance in Å.
Sites, in units of the cell vectors:
Na1 0.9116 0.2415 0.4949  1 O 2.40
Na2 0.9116 0.2585 0.9949  1 O 2.40
Na3 0.0884 0.7415 0.0051  1 O 2.40
Na4 0.0884 0.7585 0.5051  1 O 2.40
S1 0.2215 0.4143 0.3353  3 Lu 2.71-2.80, 3 Na 2.79-2.88
S2 0.2215 0.0857 0.8353  3 Lu 2.71-2.80, 3 Na 2.79-2.88
S3 0.7785 0.9143 0.1647  3 Lu 2.71-2.80, 3 Na 2.79-2.88
S4 0.7785 0.5857 0.6647  3 Lu 2.71-2.80, 3 Na 2.79-2.88
O1 0.6156 0.1519 0.6208  3 Lu 2.17-2.20, 1 Na 2.40
O2 0.6156 0.3481 0.1208  3 Lu 2.17-2.20, 1 Na 2.40
O3 0.3844 0.8481 0.3792  3 Lu 2.17-2.20, 1 Na 2.40
O4 0.3844 0.6519 0.8792  3 Lu 2.17-2.20, 1 Na 2.40
Lu1 0.4623 0.3754 0.7661  3 O 2.17-2.20
Lu2 0.4623 0.1246 0.2661  3 O 2.17-2.20
Lu3 0.5377 0.8754 0.7339  3 O 2.17-2.20
Lu4 0.5377 0.6246 0.2339  3 O 2.17-2.20

## Properties
symmetry: P2_1/c
size of the total moment: 0.00 μB per formula unit

Pick D: it beats the second-best structure by 11 meV per atom.